## w
The following is a DFT calculation (GGA-PBE) of a relaxed structure of SrSnI2.

```
4
Lattice="-3.669 0.935 2.046 -1.807 -2.903 2.613 3.991 3.429 10.114" Properties=species:S:1:pos:R:3 pbc="T T T"
I 2.276 2.225 7.590
I -3.762 -0.764 7.183
Sr 0.000 0.000 0.000
Sn -0.743 0.730 7.387
```

Properties
Space-group type   No. 166
Crystal system   trigonal
N(E_F)   2.66 states/eV per cell

## x
The following is a DFT calculation (GGA-PBE) of a relaxed structure of SrSnI2.

```
4
Lattice="0.000 4.131 4.131 4.131 0.000 4.131 4.131 4.131 0.000" Properties=species:S:1:pos:R:3 pbc="T T T"
I 2.066 2.066 2.066
I 6.197 6.197 6.197
Sr 0.000 0.000 0.000
Sn 4.131 4.131 4.131
```

Properties
Space-group type   No. 225
Crystal system   cubic
N(E_F)   5.22 states/eV per cell

## y
The following is a DFT calculation (GGA-PBE) of a relaxed structure of SrSnI2.

```
8
Lattice="9.100 0.000 0.000 0.000 9.100 0.000 4.550 4.550 3.845" Properties=species:S:1:pos:R:3 pbc="T T T"
I 6.817 2.275 0.961
I 2.283 6.825 0.961
I 6.825 6.834 2.884
I 11.375 11.367 2.884
Sr 4.550 4.550 0.000
Sr 4.550 9.100 1.923
Sn 0.000 0.000 0.000
Sn 9.100 4.550 1.923
```

Properties
Space-group type   No. 122
Crystal system   tetragonal
N(E_F)   0.55 states/eV per cell

In order of decreasing stability: y, x, w.